1.
# Sm3InHg5 | OQMD via LeMat-Bulk | PBE | relaxed
# Electronic total energy in eV per atom: -2.496
data_Sm3InHg5
_cell_length_a 9.0844
_cell_length_b 9.0844
_cell_length_c 6.4673
_cell_angle_alpha 90.00
_cell_angle_beta 90.00
_cell_angle_gamma 120.00
_space_group_name_H-M_alt 'P 63/m c m'
_space_group_IT_number 193
_space_group_name_Hall '-P 6c 2'
loop_
_atom_site_label
_atom_site_type_symbol
_atom_site_fract_x
_atom_site_fract_y
_atom_site_fract_z
Sm1 Sm 0.0000 0.3382 0.2500
In1 In 0.0000 0.0000 0.0000
Hg1 Hg 0.0000 0.3294 0.7500
Hg2 Hg 0.3333 0.6667 0.0000


2.
# SmInHgTe3 | OQMD via LeMat-Bulk | PBE | relaxed
# Electronic total energy in eV per atom: -3.497
data_SmInHgTe3
_cell_length_a 12.8779
_cell_length_b 4.6241
_cell_length_c 13.2593
_cell_angle_alpha 90.00
_cell_angle_beta 90.00
_cell_angle_gamma 90.00
_space_group_name_H-M_alt 'P n m a'
_space_group_IT_number 62
loop_
_space_group_symop_operation_xyz
'x,y,z'
'-x,-y,-z'
'-x+1/2,-y,z+1/2'
'x+1/2,y,-z+1/2'
'x+1/2,-y+1/2,-z+1/2'
'-x+1/2,y+1/2,z+1/2'
'-x,y+1/2,-z'
'x,-y+1/2,z'
loop_
_atom_site_label
_atom_site_type_symbol
_atom_site_fract_x
_atom_site_fract_y
_atom_site_fract_z
Sm1 Sm 0.0305 0.2500 0.1864
In1 In 0.1780 0.2500 0.4930
Hg1 Hg 0.2441 0.7500 0.3026
Te1 Te 0.0290 0.7500 0.3546
Te2 Te 0.0850 0.2500 0.9360
Te3 Te 0.2254 0.7500 0.6717